No. 1
Entry from Alexandria via LeMat-Bulk: CdSn2Ir after structural relaxation (PBE).

The structure in CIF format:
```
data_CdSn2Ir
_space_group_name_H-M_alt 'P m m m'
_space_group_IT_number 47
_cell_length_a 3.1054
_cell_length_b 3.3689
_cell_length_c 8.6953
_cell_angle_alpha 90.00
_cell_angle_beta 90.00
_cell_angle_gamma 90.00
loop_
_space_group_symop_operation_xyz
'x,y,z'
'-x,-y,-z'
'-x,-y,z'
'x,y,-z'
'x,-y,-z'
'-x,y,z'
'-x,y,-z'
'x,-y,z'
loop_
_atom_site_label
_atom_site_type_symbol
_atom_site_fract_x
_atom_site_fract_y
_atom_site_fract_z
Cd1 Cd 0.0000 0.0000 0.0000
Sn1 Sn 0.0000 0.5000 0.3064
Ir1 Ir 0.5000 0.0000 0.5000
```

Properties
The formation energy from the elements comes out at -0.0104 eV per atom. As for the total energy: -17.823 eV for the cell shown. The calculated volume comes out at 90.97 Å³ per cell. As for the mass density: 9.89 g/cm³. As for the crystal system: orthorhombic.


No. 2
Entry from Alexandria via LeMat-Bulk: Np2AlB2Rh5 after structural relaxation (PBE).

The structure in CIF format:
```
data_Np2AlB2Rh5
_space_group_name_H-M_alt 'P 4/m b m'
_space_group_IT_number 127
_space_group_name_Hall '-P 4 2ab'
_cell_length_a 9.6250
_cell_length_b 9.6250
_cell_length_c 3.1396
_cell_angle_alpha 90.00
_cell_angle_beta 90.00
_cell_angle_gamma 90.00
loop_
_atom_site_label
_atom_site_type_symbol
_atom_site_fract_x
_atom_site_fract_y
_atom_site_fract_z
Np1 Np 0.1779 0.3221 0.0000
Al1 Al 0.0000 0.0000 0.0000
B1 B 0.1218 0.6218 0.0000
Rh1 Rh 0.0000 0.5000 0.5000
Rh2 Rh 0.0678 0.7808 0.5000
```

Properties
The formation energy from the elements comes out at -0.5242 eV per atom. As for the total energy: -169.957 eV for the cell shown. The calculated volume comes out at 290.85 Å³ per cell. As for the mass density: 11.84 g/cm³. As for the crystal system: tetragonal.


No. 3
Entry from Alexandria via LeMat-Bulk: Na2PuHgSb2 after structural relaxation (PBE).

The structure in CIF format:
```
data_Na2PuHgSb2
_space_group_name_H-M_alt 'P m c 21'
_space_group_IT_number 26
_cell_length_a 4.7022
_cell_length_b 9.3582
_cell_length_c 7.6109
_cell_angle_alpha 90.00
_cell_angle_beta 90.00
_cell_angle_gamma 90.00
loop_
_space_group_symop_operation_xyz
'x,y,z'
'-x,-y,z+1/2'
'-x,y,z'
'x,-y,z+1/2'
loop_
_atom_site_label
_atom_site_type_symbol
_atom_site_fract_x
_atom_site_fract_y
_atom_site_fract_z
Na1 Na 0.0000 0.0691 0.0000
Na2 Na 0.5000 0.1662 0.3084
Pu1 Pu 0.5000 0.4572 0.9359
Hg1 Hg 0.0000 0.3125 0.6046
Sb1 Sb 0.0000 0.3735 0.2100
Sb2 Sb 0.5000 0.1613 0.7259
```

Properties
As for the total energy: -55.570 eV for the cell shown. The calculated volume comes out at 334.91 Å³ per cell. As for the mass density: 7.28 g/cm³. The calculation puts the uncorrected formation energy at -0.3780 eV/atom. As for the crystal system: orthorhombic.


No. 4
Entry from Alexandria via LeMat-Bulk: Mn2ReHIr after structural relaxation (PBE).

The structure in CIF format:
```
data_Mn2ReHIr
_space_group_name_H-M_alt 'P 4/m m m'
_space_group_IT_number 123
_space_group_name_Hall '-P 4 2'
_cell_length_a 3.7655
_cell_length_b 3.7655
_cell_length_c 3.7979
_cell_angle_alpha 90.00
_cell_angle_beta 90.00
_cell_angle_gamma 90.00
loop_
_atom_site_label
_atom_site_type_symbol
_atom_site_fract_x
_atom_site_fract_y
_atom_site_fract_z
Mn1 Mn 0.0000 0.5000 0.0000
Re1 Re 0.0000 0.0000 0.5000
H1 H 0.0000 0.0000 0.0000
Ir1 Ir 0.5000 0.5000 0.5000
```

Properties
The calculation puts the energy above the most stable polymorph in this dataset at 0.0 meV per atom. As for the total energy: -43.061 eV for the cell shown. The calculated volume comes out at 53.85 Å³ per cell. As for the mass density: 15.09 g/cm³. As for the crystal system: tetragonal.


No. 5
Entry from Alexandria via LeMat-Bulk: Be2CrFe after structural relaxation (PBE).

The structure in CIF format:
```
data_Be2CrFe
_space_group_name_H-M_alt 'F m -3 m'
_space_group_IT_number 225
_space_group_name_Hall '-F 4 2 3'
_cell_length_a 5.3694
_cell_length_b 5.3694
_cell_length_c 5.3694
_cell_angle_alpha 90.00
_cell_angle_beta 90.00
_cell_angle_gamma 90.00
loop_
_atom_site_label
_atom_site_type_symbol
_atom_site_fract_x
_atom_site_fract_y
_atom_site_fract_z
Be1 Be 0.2500 0.2500 0.2500
Cr1 Cr 0.0000 0.0000 0.0000
Fe1 Fe 0.0000 0.0000 0.5000
```

Properties
The formation energy from the elements comes out at 0.0371 eV per atom. The calculation puts the energy above the most stable polymorph in this dataset at 183.3 meV per atom. As for the total energy: -101.560 eV for the cell shown. The calculated volume comes out at 154.80 Å³ per cell. As for the mass density: 5.40 g/cm³. As for the crystal system: cubic.


No. 6
Entry from Alexandria via LeMat-Bulk: Ho3TmSn2C after structural relaxation (PBE).

The structure in CIF format:
```
data_Ho3TmSn2C
_space_group_name_H-M_alt 'I m m m'
_space_group_IT_number 71
_space_group_name_Hall '-I 2 2'
_cell_length_a 4.7345
_cell_length_b 4.7670
_cell_length_c 15.8558
_cell_angle_alpha 90.00
_cell_angle_beta 90.00
_cell_angle_gamma 90.00
loop_
_atom_site_label
_atom_site_type_symbol
_atom_site_fract_x
_atom_site_fract_y
_atom_site_fract_z
Ho1 Ho 0.0000 0.0000 0.0000
Ho2 Ho 0.0000 0.5000 0.1586
Tm1 Tm 0.0000 0.0000 0.5000
Sn1 Sn 0.0000 0.5000 0.3597
C1 C 0.0000 0.5000 0.0000
```

Properties
The formation energy from the elements comes out at -0.6864 eV per atom. As for the total energy: -80.478 eV for the cell shown. The calculated volume comes out at 357.85 Å³ per cell. As for the mass density: 8.47 g/cm³. As for the crystal system: orthorhombic.